CaTa2FeAu, optimized geometry, DFT PBE-GGA; ΔH_f (0 K) = 257.7 kJ/mol of formula units; N(E_F) = 6.04 states/eV/cell; M_tot = 0.00 μB/cell
1.0
4.5415 0.0000 0.0000
0.0000 4.5415 0.0000
0.0000 0.0000 5.1376
Ca Ta Fe Au
1 2 1 1
Cartesian
0.0000 0.0000 0.0000
0.0000 2.2708 2.5688
2.2708 0.0000 2.5688
2.2708 2.2708 2.5688
2.2708 2.2708 0.0000

---

Ca2Ga5Au3, optimized geometry, DFT PBE-GGA; ΔH_f (0 K) = -513.0 kJ/mol of formula units; N(E_F) = 8.49 states/eV/cell; M_tot = 0.00 μB/cell
1.0
2.2528 -12.6784 0.0000
2.2528 12.6784 0.0000
0.0000 0.0000 7.0191
Ca Ga Au
4 10 6
Cartesian
2.2528 12.3149 3.5096
2.2528 4.4520 3.3442
2.2528 -4.4520 6.8538
2.2528 -12.3149 0.0000
2.2528 10.0040 1.2438
2.2528 7.4378 1.8954
2.2528 7.4402 4.7251
2.2528 3.0395 0.0721
2.2528 1.2941 2.2220
2.2528 -1.2941 5.7316
2.2528 -3.0395 3.5817
2.2528 -7.4402 1.2155
2.2528 -7.4378 5.4050
2.2528 -10.0040 4.7534
2.2528 9.9831 5.4268
2.2528 5.6815 6.7982
2.2528 1.3317 4.9745
2.2528 -1.3317 1.4649
2.2528 -5.6815 3.2886
2.2528 -9.9831 1.9173

---

CaGa2Au5, optimized geometry, DFT PBE-GGA; ΔH_f (0 K) = -290.4 kJ/mol of formula units; N(E_F) = 2.69 states/eV/cell; M_tot = 0.00 μB/cell
1.0
-2.0991 3.4964 5.5944
2.0991 -3.4964 5.5944
2.0991 3.4964 -5.5944
Ca Ga Au
1 2 5
Cartesian
0.0000 0.0000 0.0000
2.0991 0.0000 2.9536
0.0000 3.4964 2.6408
2.0991 2.0295 -1.4749
2.0991 2.0295 1.4749
0.0000 3.4964 0.0000
0.0000 1.4669 4.1195
0.0000 1.4669 7.0693